Below is PtS2F at its PBEsol-relaxed geometry, with properties calculated at the meta-GGA SCAN level.

Calculated values
formation energy from raw total energies	-0.452	eV per atom

The structure in CIF format:
```
data_PtS2F
_chemical_formula_sum 'Pt1 S2 F1'
_symmetry_space_group_name_H-M 'P 1'
_symmetry_Int_Tables_number 1
_symmetry_space_group_name_Hall 'P 1'
_cell_length_a 6.895
_cell_length_b 6.895
_cell_length_c 6.895
_cell_angle_alpha 30.37
_cell_angle_beta 30.37
_cell_angle_gamma 30.37
loop_
_atom_site_label
_atom_site_type_symbol
_atom_site_fract_x
_atom_site_fract_y
_atom_site_fract_z
Pt1 Pt 0.000 0.000 0.000
S1 S 0.393 0.393 0.393
S2 S 0.607 0.607 0.607
F1 F 0.500 0.500 0.500
```